[1]
Material: KTlCdAu2
Method: DFT, PBE
State: optimized geometry

Calculated values
spin magnetization = 0.0 μB/cell
energy = -2.4015 eV per atom
SG = I-4m2, No. 119

Unit cell a=7.0636 b=7.0636 c=7.0636 alpha=141.02 beta=141.02 gamma=56.30
With the nearest neighbours (Å) after each atom.
Sites, in units of the cell vectors:
K 0.0000 0.0000 0.0000  8 Au 3.60, 4 Tl 3.91, 4 Cd 3.91
Tl 0.7500 0.2500 0.5000  4 Au 2.93
Cd 0.2500 0.7500 0.5000  4 Au 2.93
Au 0.3903 0.3903 0.0000  1 Au 2.73, 2 Cd 2.93, 2 Tl 2.93
Au 0.6097 0.6097 0.0000  1 Au 2.73, 2 Tl 2.93, 2 Cd 2.93

[2]
Material: Na3Sm2YS6
Method: DFT, PBE
State: optimized geometry

Calculated values
spin magnetization = 0.0 μB/cell
energy = -5.5456 eV per atom
SG = C2/m, No. 12

Unit cell a=7.0123 b=7.0123 c=7.0868 alpha=99.49 beta=99.49 gamma=120.00
With the nearest neighbours (Å) after each atom.
Sites, in units of the cell vectors:
Na 0.0000 0.0000 0.0000  6 S 2.94-2.99
Na 0.3333 0.6667 0.0000  6 S 2.94-2.98
Na 0.6667 0.3333 0.0000  6 S 2.94-2.98
Sm 0.1666 0.8334 0.5000  6 S 2.81
Sm 0.8334 0.1666 0.5000  6 S 2.81
Y 0.5000 0.5000 0.5000  6 S 2.77
S 0.0949 0.4234 0.2701  1 Y 2.77, 2 Sm 2.81, 3 Na 2.94-2.98
S 0.2481 0.2481 0.7292  1 Y 2.77, 2 Sm 2.81, 3 Na 2.94-2.99
S 0.4234 0.0949 0.2701  1 Y 2.77, 2 Sm 2.81, 3 Na 2.94-2.98
S 0.5766 0.9051 0.7299  1 Y 2.77, 2 Sm 2.81, 3 Na 2.94-2.98
S 0.7519 0.7519 0.2708  1 Y 2.77, 2 Sm 2.81, 3 Na 2.94-2.99
S 0.9051 0.5766 0.7299  1 Y 2.77, 2 Sm 2.81, 3 Na 2.94-2.98

[3]
Material: Rb2SnF6
Method: DFT, PBE
State: optimized geometry

Calculated values
spin magnetization = 0.0 μB/cell
energy = -4.6429 eV per atom
SG = Fm-3m, No. 225

Unit cell a=6.3182 b=6.3182 c=6.3182 alpha=60.00 beta=60.00 gamma=60.00
With the nearest neighbours (Å) after each atom.
Sites, in units of the cell vectors:
Rb 0.2500 0.2500 0.2500  12 F 3.17
Rb 0.7500 0.7500 0.7500  12 F 3.17
Sn 0.0000 0.0000 0.0000  6 F 2.00
F 0.2242 0.2242 0.7758  1 Sn 2.00
F 0.2242 0.7758 0.2242  1 Sn 2.00
F 0.2242 0.7758 0.7758  1 Sn 2.00
F 0.7758 0.2242 0.2242  1 Sn 2.00
F 0.7758 0.2242 0.7758  1 Sn 2.00
F 0.7758 0.7758 0.2242  1 Sn 2.00

[4]
Material: Y2Hg2Pb
Method: DFT, PBE
State: optimized geometry

Calculated values
spin magnetization = 0.0 μB/cell
energy = -3.8726 eV per atom
SG = P4/mbm, No. 127

Unit cell a=8.1671 b=8.1671 c=4.0554 alpha=90.00 beta=90.00 gamma=90.00
With the nearest neighbours (Å) after each atom.
Sites, in units of the cell vectors:
Y 0.1691 0.3309 0.0000  6 Hg 3.10-3.18
Y 0.3309 0.8309 0.0000  6 Hg 3.10-3.18
Y 0.6691 0.1691 0.0000  6 Hg 3.10-3.18
Y 0.8309 0.6691 0.0000  6 Hg 3.10-3.18
Hg 0.1283 0.6283 0.5000  1 Hg 2.96, 6 Y 3.10-3.18, 2 Pb 3.21
Hg 0.3717 0.1283 0.5000  1 Hg 2.96, 6 Y 3.10-3.18, 2 Pb 3.21
Hg 0.6283 0.8717 0.5000  1 Hg 2.96, 6 Y 3.10-3.18, 2 Pb 3.21
Hg 0.8717 0.3717 0.5000  1 Hg 2.96, 6 Y 3.10-3.18, 2 Pb 3.21
Pb 0.0000 0.0000 0.5000  4 Hg 3.21
Pb 0.5000 0.5000 0.5000  4 Hg 3.21

[5]
Material: KBRu
Method: DFT, PBE
State: optimized geometry

Calculated values
spin magnetization = 0.0 μB/cell
energy = -5.7116 eV per atom
SG = P2_1/m, No. 11

Unit cell a=4.0063 b=4.0060 c=10.1441 alpha=90.00 beta=91.31 gamma=90.00
With the nearest neighbours (Å) after each atom.
Sites, in units of the cell vectors:
K 0.2340 0.2500 0.2286  5 B 3.36-3.55, 4 Ru 3.40-3.41
K 0.7660 0.7500 0.7714  5 B 3.36-3.55, 4 Ru 3.40-3.41
B 0.2535 0.2500 0.5604  4 Ru 2.09
B 0.7465 0.7500 0.4396  4 Ru 2.09
Ru 0.2500 0.7500 0.5000  4 B 2.09
Ru 0.7500 0.2500 0.5000  4 B 2.09

[6]
Material: BaAl3Ag
Method: DFT, PBE
State: optimized geometry

Calculated values
spin magnetization = 0.0 μB/cell
energy = -3.0449 eV per atom
SG = Pm-3m, No. 221

Unit cell a=5.0924 b=5.0924 c=5.0924 alpha=90.00 beta=90.00 gamma=90.00
With the nearest neighbours (Å) after each atom.
Sites, in units of the cell vectors:
Ba 0.0000 0.0000 0.0000  12 Al 3.60
Al 0.0000 0.5000 0.5000  2 Ag 2.55
Al 0.5000 0.0000 0.5000  2 Ag 2.55
Al 0.5000 0.5000 0.0000  2 Ag 2.55
Ag 0.5000 0.5000 0.5000  6 Al 2.55